DFT (PBE-GGA) results for TmAgS2 after structural relaxation.

The structure belongs to space group Cc (No. 9); the cell edges are 14.816, 3.983 and 6.956 Å and the angles 90.00°, 105.39° and 90.00°. Symmetry generates all atoms from Tm at (0.000, 0.250, 0.000), Ag at (0.250, 0.000, 0.001), S at (0.099, 0.252, 0.387) and S at (0.401, 0.252, 0.113).

As for the uncorrected formation energy: -1.314 eV/atom.



DFT (PBE-GGA) results for La2As2F after structural relaxation.

The structure belongs to space group P4/mbm (No. 127); the cell edges are 7.488, 7.488 and 4.323 Å and the angles 90.00°, 90.00° and 90.00°. Symmetry generates all atoms from La at (0.187, 0.313, 0.000), As at (0.117, 0.617, 0.500) and F at (0.000, 0.000, 0.000).

As for the uncorrected formation energy: -1.950 eV/atom. The calculation puts the energy above the lowest structure with this stoichiometry at 0.000 eV per atom.



DFT (PBE-GGA) results for BeTlVHg2 after structural relaxation.

The structure belongs to space group P4/mmm (No. 123); the cell edges are 4.636, 4.636 and 4.638 Å and the angles 90.00°, 90.00° and 90.00°. Symmetry generates all atoms from Be at (0.000, 0.000, 0.000), Tl at (0.500, 0.500, 0.500), V at (0.000, 0.000, 0.500) and Hg at (0.000, 0.500, 0.000).

As for the energy relative to the elements: 2.96 eV per formula unit.



DFT (PBE-GGA) results for Tm6TlRh3 after structural relaxation.

The structure belongs to space group P2_1/m (No. 11); the cell edges are 10.706, 4.229 and 12.346 Å and the angles 90.00°, 114.83° and 90.00°. Symmetry generates all atoms from Tm at (0.020, 0.250, 0.302), Tm at (0.138, 0.750, 0.003), Tm at (0.280, 0.250, 0.855), Tm at (0.290, 0.750, 0.329), Tm at (0.357, 0.250, 0.577), Tm at (0.457, 0.250, 0.169), Tl at (0.127, 0.750, 0.531), Rh at (0.004, 0.250, 0.846), Rh at (0.407, 0.750, 0.012) and Rh at (0.471, 0.250, 0.406).

As for the energy relative to the elements: -6.11 eV per formula unit.



DFT (PBE-GGA) results for LiCrP after structural relaxation.

The structure belongs to space group C2/m (No. 12); the cell edges are 6.656, 3.849 and 7.110 Å and the angles 90.00°, 108.25° and 90.00°. Symmetry generates all atoms from Li at (0.128, 0.000, 0.385), Cr at (0.128, 0.500, 0.882) and P at (0.240, 0.500, 0.221).

As for the energy relative to the elements: -1.19 eV per formula unit.



DFT (PBE-GGA) results for LaHo2Er2Tm after structural relaxation.

The structure belongs to space group Pnnm (No. 58); the cell edges are 6.898, 16.002 and 3.519 Å and the angles 90.00°, 90.00° and 90.00°. Symmetry generates all atoms from La at (0.000, 0.000, 0.000), Ho at (0.248, 0.342, 0.000), Er at (0.249, 0.657, 0.000) and Tm at (0.000, 0.500, 0.500).

As for the energy relative to the elements: 1.03 eV per formula unit.



DFT (PBE-GGA) results for K3HgRu2O8 after structural relaxation.

The structure belongs to space group P-3m1 (No. 164); the cell edges are 6.0594, 6.0594 and 9.8032 Å and the angles 90.00°, 90.00° and 120.00°. Symmetry generates all atoms from K at (0.0000, 0.0000, 0.0000), K at (0.3333, 0.6667, 0.7176), Hg at (0.0000, 0.0000, 0.5000), Ru at (0.3333, 0.6667, 0.1631), O at (0.1749, 0.3498, 0.2270) and O at (0.3333, 0.6667, 0.9824).

As for the uncorrected formation energy: -1.096 eV/atom.



DFT (PBE-GGA) results for Na2Er2TiS6 after structural relaxation.

The structure belongs to space group C2/m (No. 12); the cell edges are 6.634, 11.332 and 7.107 Å and the angles 90.00°, 108.11° and 90.00°. Symmetry generates all atoms from Na at (0.000, 0.170, 0.000), Er at (0.000, 0.333, 0.500), Ti at (0.000, 0.000, 0.500), S at (0.226, 0.155, 0.715) and S at (0.233, 0.000, 0.288).

As for the uncorrected formation energy: -1.653 eV/atom.



For reference, magnetic moment by record: 0.00, 0.00, 0.00, 0.00, 0.44, 0.00, 0.21, 0.00 μB/atom.